Entry 1:
Ba6Rh2Se, relaxed, DFT PBE; spin magnetization = 0.33 μB/f.u.; crystal system = orthorhombic; theoretical density = 4.55 g/cm³
1.0
7.501 0.000 0.000
0.000 8.081 0.000
0.000 0.000 13.361
Ba Rh Se
12 4 2
direct
0.215 0.155 0.000
0.248 0.186 0.330
0.248 0.186 0.670
0.252 0.686 0.170
0.252 0.686 0.830
0.285 0.655 0.500
0.715 0.345 0.500
0.748 0.314 0.170
0.748 0.314 0.830
0.752 0.814 0.330
0.752 0.814 0.670
0.785 0.845 0.000
0.000 0.000 0.180
0.000 0.000 0.820
0.500 0.500 0.320
0.500 0.500 0.680
0.000 0.500 0.000
0.500 0.000 0.500


Entry 2:
Ba8Rh3Se, relaxed, DFT PBE; spin magnetization = 0.61 μB/f.u.; crystal system = monoclinic; theoretical density = 4.47 g/cm³
1.0
7.814 -4.658 0.000
7.814 4.658 0.000
-5.054 0.000 7.580
Ba Rh Se
8 3 1
direct
0.225 0.748 0.753
0.245 0.245 0.256
0.252 0.252 0.724
0.252 0.775 0.247
0.748 0.225 0.753
0.748 0.748 0.276
0.755 0.755 0.744
0.775 0.252 0.247
0.000 0.000 0.000
0.000 0.500 0.500
0.500 0.000 0.500
0.500 0.500 0.000


Entry 3:
Ba3RhSe, relaxed, DFT PBE; spin magnetization = 0.00 μB/f.u.; crystal system = cubic; theoretical density = 4.80 g/cm³; distance to the lowest polymorph of the same formula = 0.0 kJ/mol of atoms
1.0
5.900 0.000 0.000
0.000 5.900 0.000
0.000 0.000 5.900
Ba Rh Se
3 1 1
direct
0.000 0.000 0.500
0.000 0.500 0.000
0.500 0.000 0.000
0.000 0.000 0.000
0.500 0.500 0.500


Entry 4:
BaRhSe, relaxed, DFT PBE; spin magnetization = 0.00 μB/f.u.; crystal system = hexagonal; theoretical density = 6.88 g/cm³; distance to the lowest polymorph of the same formula = 0.0 kJ/mol of atoms
1.0
4.346 0.000 0.000
-2.173 3.764 0.000
0.000 0.000 4.712
Ba Rh Se
1 1 1
direct
0.000 0.000 0.000
0.667 0.333 0.500
0.333 0.667 0.500


Entry 5:
BaRhSe, relaxed, DFT PBE; spin magnetization = 0.99 μB/f.u.; crystal system = orthorhombic; theoretical density = 5.98 g/cm³; distance to the lowest polymorph of the same formula = 57.2 kJ/mol of atoms
1.0
4.430 0.000 0.000
0.000 4.441 0.000
0.000 0.000 9.007
Ba Rh Se
2 2 2
direct
0.000 0.000 0.000
0.500 0.500 0.500
0.000 0.000 0.385
0.500 0.500 0.885
0.000 0.000 0.647
0.500 0.500 0.147


Entry 6:
BaRh6Se8, relaxed, DFT PBE; spin magnetization = 0.00 μB/f.u.; crystal system = trigonal; theoretical density = 7.14 g/cm³
1.0
4.786 2.763 4.061
-4.786 2.763 4.061
0.000 -5.526 4.061
Ba Rh Se
1 6 8
direct
0.000 0.000 0.000
0.189 0.407 0.568
0.407 0.568 0.189
0.432 0.811 0.593
0.568 0.189 0.407
0.593 0.432 0.811
0.811 0.593 0.432
0.143 0.736 0.386
0.256 0.256 0.256
0.264 0.614 0.857
0.386 0.143 0.736
0.614 0.857 0.264
0.736 0.386 0.143
0.744 0.744 0.744
0.857 0.264 0.614


Number 1: D(E_F) 7.659 states/eV/f.u., formation energy from raw total energies -519 meV/atom. Number 2: D(E_F) 10.155 states/eV/f.u., formation energy from raw total energies -444 meV/atom. Number 3: D(E_F) 4.256 states/eV/f.u., formation energy from raw total energies -559 meV/atom. Number 4: D(E_F) 1.682 states/eV/f.u., formation energy from raw total energies -957 meV/atom. Number 5: D(E_F) 3.782 states/eV/f.u., formation energy from raw total energies -364 meV/atom. Number 6: D(E_F) 6.472 states/eV/f.u., formation energy from raw total energies -528 meV/atom.